Record 1
# AlAsAu3 | Alexandria | PBE | optimized geometry
# - Fermi-level density of states (states/eV per cell) = 1.97
# - offset from the most stable computed form (eV/atom) = 0.0000
# - E_form (meV/atom) = 403
data_AlAsAu3
_space_group_name_H-M_alt 'P m -3 m'
_space_group_IT_number 221
_space_group_name_Hall '-P 4 2 3'
_cell_length_a 4.9741
_cell_length_b 4.9741
_cell_length_c 4.9741
_cell_angle_alpha 90.00
_cell_angle_beta 90.00
_cell_angle_gamma 90.00
loop_
_atom_site_label
_atom_site_type_symbol
_atom_site_fract_x
_atom_site_fract_y
_atom_site_fract_z
Al1 Al 0.0000 0.0000 0.0000
As1 As 0.5000 0.5000 0.5000
Au1 Au 0.0000 0.5000 0.5000



Record 2
# Er3Cu2Pt6 | Alexandria | PBE | optimized geometry
# - Fermi-level density of states (states/eV per cell) = 23.06
# - E_form (meV/atom) = -848
data_Er3Cu2Pt6
_space_group_name_H-M_alt 'I m -3 m'
_space_group_IT_number 229
_space_group_name_Hall '-I 4 2 3'
_cell_length_a 9.4422
_cell_length_b 9.4422
_cell_length_c 9.4422
_cell_angle_alpha 90.00
_cell_angle_beta 90.00
_cell_angle_gamma 90.00
loop_
_atom_site_label
_atom_site_type_symbol
_atom_site_fract_x
_atom_site_fract_y
_atom_site_fract_z
Er1 Er 0.0000 0.0000 0.3026
Cu1 Cu 0.2500 0.2500 0.2500
Pt1 Pt 0.0000 0.3323 0.3323



Record 3
# Co2ReTc | Alexandria | PBE | optimized geometry
# - Fermi-level density of states (states/eV per cell) = 26.29
# - offset from the most stable computed form (eV/atom) = 0.7589
# - E_form (meV/atom) = 698
data_Co2ReTc
_space_group_name_H-M_alt 'I -4 2 d'
_space_group_IT_number 122
_space_group_name_Hall 'I -4 2bw'
_cell_length_a 6.5142
_cell_length_b 6.5142
_cell_length_c 5.1364
_cell_angle_alpha 90.00
_cell_angle_beta 90.00
_cell_angle_gamma 90.00
loop_
_atom_site_label
_atom_site_type_symbol
_atom_site_fract_x
_atom_site_fract_y
_atom_site_fract_z
Co1 Co 0.2439 0.2500 0.1250
Re1 Re 0.0000 0.0000 0.0000
Tc1 Tc 0.0000 0.0000 0.5000



Record 4
# Nd4Sb2Au | Alexandria | PBE | optimized geometry
# - raw formation energy (eV/atom) = -0.736
# - Fermi-level density of states (states/eV per cell) = 13.36
data_Nd4Sb2Au
_space_group_name_H-M_alt 'C 1 2/m 1'
_space_group_IT_number 12
_cell_length_a 16.2361
_cell_length_b 4.3952
_cell_length_c 7.5669
_cell_angle_alpha 90.00
_cell_angle_beta 116.47
_cell_angle_gamma 90.00
loop_
_space_group_symop_operation_xyz
'x,y,z'
'-x,-y,-z'
'-x,y,-z'
'x,-y,z'
'x+1/2,y+1/2,z'
'-x+1/2,-y+1/2,-z'
'-x+1/2,y+1/2,-z'
'x+1/2,-y+1/2,z'
loop_
_atom_site_label
_atom_site_type_symbol
_atom_site_fract_x
_atom_site_fract_y
_atom_site_fract_z
Nd1 Nd 0.1186 0.0000 0.4470
Nd2 Nd 0.1233 0.5000 0.9718
Sb1 Sb 0.2404 0.5000 0.7363
Au1 Au 0.0000 0.0000 0.0000



Record 5
# NbBiRh | Alexandria | PBE | optimized geometry
# - Fermi-level density of states (states/eV per cell) = 4.83
# - E_form (meV/atom) = -128
data_NbBiRh
_space_group_name_H-M_alt 'P m m 2'
_space_group_IT_number 25
_cell_length_a 3.4431
_cell_length_b 3.5640
_cell_length_c 10.5468
_cell_angle_alpha 90.00
_cell_angle_beta 90.00
_cell_angle_gamma 90.00
loop_
_space_group_symop_operation_xyz
'x,y,z'
'-x,-y,z'
'-x,y,z'
'x,-y,z'
loop_
_atom_site_label
_atom_site_type_symbol
_atom_site_fract_x
_atom_site_fract_y
_atom_site_fract_z
Nb1 Nb 0.0000 0.0000 0.0000
Nb2 Nb 0.5000 0.5000 0.1515
Bi1 Bi 0.0000 0.0000 0.3079
Bi2 Bi 0.5000 0.5000 0.6184
Rh1 Rh 0.0000 0.0000 0.7480
Rh2 Rh 0.5000 0.5000 0.8947



Record 6
# La6RuAu2Br3 | Alexandria | PBE | optimized geometry
# - raw formation energy (eV/atom) = -1.032
# - Fermi-level density of states (states/eV per cell) = 19.44
data_La6RuAu2Br3
_space_group_name_H-M_alt 'C 1 2/m 1'
_space_group_IT_number 12
_cell_length_a 19.9733
_cell_length_b 4.2864
_cell_length_c 9.3429
_cell_angle_alpha 90.00
_cell_angle_beta 109.58
_cell_angle_gamma 90.00
loop_
_space_group_symop_operation_xyz
'x,y,z'
'-x,-y,-z'
'-x,y,-z'
'x,-y,z'
'x+1/2,y+1/2,z'
'-x+1/2,-y+1/2,-z'
'-x+1/2,y+1/2,-z'
'x+1/2,-y+1/2,z'
loop_
_atom_site_label
_atom_site_type_symbol
_atom_site_fract_x
_atom_site_fract_y
_atom_site_fract_z
La1 La 0.0063 0.0000 0.2113
La2 La 0.1468 0.5000 0.0963
La3 La 0.1714 0.5000 0.5702
Ru1 Ru 0.0000 0.5000 0.0000
Au1 Au 0.1691 0.0000 0.3411
Br1 Br 0.0000 0.5000 0.5000
Br2 Br 0.1679 0.0000 0.8336



Record 7
# SrZr2Ru | Alexandria | PBE | optimized geometry
# - Fermi-level density of states (states/eV per cell) = 6.51
# - offset from the most stable computed form (eV/atom) = 0.0392
# - E_form (meV/atom) = 95
data_SrZr2Ru
_space_group_name_H-M_alt 'C 1 2/m 1'
_space_group_IT_number 12
_cell_length_a 11.4538
_cell_length_b 3.3929
_cell_length_c 5.5750
_cell_angle_alpha 90.00
_cell_angle_beta 114.82
_cell_angle_gamma 90.00
loop_
_space_group_symop_operation_xyz
'x,y,z'
'-x,-y,-z'
'-x,y,-z'
'x,-y,z'
'x+1/2,y+1/2,z'
'-x+1/2,-y+1/2,-z'
'-x+1/2,y+1/2,-z'
'x+1/2,-y+1/2,z'
loop_
_atom_site_label
_atom_site_type_symbol
_atom_site_fract_x
_atom_site_fract_y
_atom_site_fract_z
Sr1 Sr 0.0000 0.0000 0.0000
Zr1 Zr 0.1964 0.0000 0.6788
Ru1 Ru 0.0000 0.5000 0.5000



Record 8
# ErAl3Rh | Alexandria | PBE | optimized geometry
# - Fermi-level density of states (states/eV per cell) = 5.28
# - offset from the most stable computed form (eV/atom) = 0.0000
# - E_form (meV/atom) = -699
data_ErAl3Rh
_space_group_name_H-M_alt 'P 1 21/m 1'
_space_group_IT_number 11
_cell_length_a 6.7861
_cell_length_b 4.1054
_cell_length_c 6.8841
_cell_angle_alpha 90.00
_cell_angle_beta 105.51
_cell_angle_gamma 90.00
loop_
_space_group_symop_operation_xyz
'x,y,z'
'-x,-y,-z'
'-x,y+1/2,-z'
'x,-y+1/2,z'
loop_
_atom_site_label
_atom_site_type_symbol
_atom_site_fract_x
_atom_site_fract_y
_atom_site_fract_z
Er1 Er 0.1966 0.2500 0.1710
Al1 Al 0.0795 0.2500 0.6492
Al2 Al 0.3329 0.7500 0.9013
Al3 Al 0.3451 0.7500 0.5165
Rh1 Rh 0.4559 0.2500 0.7389



Record 9
# LuIn2Au | Alexandria | PBE | optimized geometry
# - Fermi-level density of states (states/eV per cell) = 2.21
# - E_form (meV/atom) = -280
data_LuIn2Au
_space_group_name_H-M_alt 'P 4/m m m'
_space_group_IT_number 123
_space_group_name_Hall '-P 4 2'
_cell_length_a 3.4130
_cell_length_b 3.4130
_cell_length_c 7.7977
_cell_angle_alpha 90.00
_cell_angle_beta 90.00
_cell_angle_gamma 90.00
loop_
_atom_site_label
_atom_site_type_symbol
_atom_site_fract_x
_atom_site_fract_y
_atom_site_fract_z
Lu1 Lu 0.0000 0.0000 0.0000
In1 In 0.5000 0.5000 0.2759
Au1 Au 0.0000 0.0000 0.5000



Record 10
# Ni2S | Alexandria | PBE | optimized geometry
# - raw formation energy (eV/atom) = -0.196
# - Fermi-level density of states (states/eV per cell) = 7.92
data_Ni2S
_space_group_name_H-M_alt 'C 1 2 1'
_space_group_IT_number 5
_cell_length_a 6.8622
_cell_length_b 3.9475
_cell_length_c 6.1607
_cell_angle_alpha 90.00
_cell_angle_beta 112.21
_cell_angle_gamma 90.00
loop_
_space_group_symop_operation_xyz
'x,y,z'
'-x,y,-z'
'x+1/2,y+1/2,z'
'-x+1/2,y+1/2,-z'
loop_
_atom_site_label
_atom_site_type_symbol
_atom_site_fract_x
_atom_site_fract_y
_atom_site_fract_z
Ni1 Ni 0.1355 0.0000 0.4131
Ni2 Ni 0.1912 0.7195 0.8479
S1 S 0.0000 0.4907 0.5000
S2 S 0.0000 0.9883 0.0000



Record 11
# InCoW2 | Alexandria | PBE | optimized geometry
# - Fermi-level density of states (states/eV per cell) = 7.24
# - E_form (meV/atom) = 398
data_InCoW2
_space_group_name_H-M_alt 'I 4/m m m'
_space_group_IT_number 139
_space_group_name_Hall '-I 4 2'
_cell_length_a 3.7803
_cell_length_b 3.7803
_cell_length_c 8.7818
_cell_angle_alpha 90.00
_cell_angle_beta 90.00
_cell_angle_gamma 90.00
loop_
_atom_site_label
_atom_site_type_symbol
_atom_site_fract_x
_atom_site_fract_y
_atom_site_fract_z
In1 In 0.0000 0.0000 0.0000
Co1 Co 0.0000 0.0000 0.5000
W1 W 0.0000 0.5000 0.2500



Record 12
# YNiSe | Alexandria | PBE | optimized geometry
# - raw formation energy (eV/atom) = -1.049
# - Fermi-level density of states (states/eV per cell) = 1.45
# - offset from the most stable computed form (eV/atom) = 0.0000
data_YNiSe
_space_group_name_H-M_alt 'P -6 m 2'
_space_group_IT_number 187
_space_group_name_Hall 'P -6 2'
_cell_length_a 4.0391
_cell_length_b 4.0391
_cell_length_c 3.9027
_cell_angle_alpha 90.00
_cell_angle_beta 90.00
_cell_angle_gamma 120.00
loop_
_atom_site_label
_atom_site_type_symbol
_atom_site_fract_x
_atom_site_fract_y
_atom_site_fract_z
Y1 Y 0.0000 0.0000 0.0000
Ni1 Ni 0.6667 0.3333 0.5000
Se1 Se 0.3333 0.6667 0.5000



Record 13
# SrLiGeRh | Alexandria | PBE | optimized geometry
# - Fermi-level density of states (states/eV per cell) = 6.26
# - E_form (meV/atom) = -468
data_SrLiGeRh
_space_group_name_H-M_alt 'P 4/n m m'
_space_group_IT_number 129
_cell_length_a 4.1676
_cell_length_b 4.1676
_cell_length_c 11.7316
_cell_angle_alpha 90.00
_cell_angle_beta 90.00
_cell_angle_gamma 90.00
loop_
_space_group_symop_operation_xyz
'x,y,z'
'-x,-y,-z'
'-y+1/2,x,z'
'y+1/2,-x,-z'
'-x+1/2,-y+1/2,z'
'x+1/2,y+1/2,-z'
'y,-x+1/2,z'
'-y,x+1/2,-z'
'x+1/2,-y,-z'
'-x+1/2,y,z'
'-y,-x,-z'
'y,x,z'
'-x,y+1/2,-z'
'x,-y+1/2,z'
'y+1/2,x+1/2,-z'
'-y+1/2,-x+1/2,z'
loop_
_atom_site_label
_atom_site_type_symbol
_atom_site_fract_x
_atom_site_fract_y
_atom_site_fract_z
Sr1 Sr 0.2500 0.2500 0.2309
Li1 Li 0.2500 0.7500 0.5000
Ge1 Ge 0.2500 0.2500 0.8857
Rh1 Rh 0.2500 0.7500 0.0000



Record 14
# NpNi4Pb | Alexandria | PBE | optimized geometry
# - Fermi-level density of states (states/eV per cell) = 62.49
# - E_form (meV/atom) = -21
data_NpNi4Pb
_space_group_name_H-M_alt 'F -4 3 m'
_space_group_IT_number 216
_space_group_name_Hall 'F -4 2 3'
_cell_length_a 7.1389
_cell_length_b 7.1389
_cell_length_c 7.1389
_cell_angle_alpha 90.00
_cell_angle_beta 90.00
_cell_angle_gamma 90.00
loop_
_atom_site_label
_atom_site_type_symbol
_atom_site_fract_x
_atom_site_fract_y
_atom_site_fract_z
Np1 Np 0.0000 0.0000 0.0000
Ni1 Ni 0.1253 0.1253 0.6253
Pb1 Pb 0.2500 0.2500 0.2500



Record 15
# TiCu2F2 | Alexandria | PBE | optimized geometry
# - raw formation energy (eV/atom) = -0.802
# - Fermi-level density of states (states/eV per cell) = 4.97
# - offset from the most stable computed form (eV/atom) = 0.4328
data_TiCu2F2
_space_group_name_H-M_alt 'I 4/m m m'
_space_group_IT_number 139
_space_group_name_Hall '-I 4 2'
_cell_length_a 3.0735
_cell_length_b 3.0735
_cell_length_c 16.3783
_cell_angle_alpha 90.00
_cell_angle_beta 90.00
_cell_angle_gamma 90.00
loop_
_atom_site_label
_atom_site_type_symbol
_atom_site_fract_x
_atom_site_fract_y
_atom_site_fract_z
Ti1 Ti 0.0000 0.0000 0.0000
Cu1 Cu 0.0000 0.5000 0.2500
F1 F 0.0000 0.0000 0.4312



Record 16
# LiLaPm2Cd4 | Alexandria | PBE | optimized geometry
# - Fermi-level density of states (states/eV per cell) = 21.82
# - E_form (meV/atom) = -272
data_LiLaPm2Cd4
_space_group_name_H-M_alt 'R -3 m'
_space_group_IT_number 166
_space_group_name_Hall '-R 3 2"'
_cell_length_a 5.3314
_cell_length_b 5.3314
_cell_length_c 26.4338
_cell_angle_alpha 90.00
_cell_angle_beta 90.00
_cell_angle_gamma 120.00
loop_
_atom_site_label
_atom_site_type_symbol
_atom_site_fract_x
_atom_site_fract_y
_atom_site_fract_z
Li1 Li 0.0000 0.0000 0.0000
La1 La 0.0000 0.0000 0.5000
Pm1 Pm 0.0000 0.0000 0.2532
Cd1 Cd 0.0000 0.0000 0.1173
Cd2 Cd 0.0000 0.0000 0.3728



Record 17
# Ga2HgGe2 | Alexandria | PBE | optimized geometry
# - Fermi-level density of states (states/eV per cell) = 4.93
# - offset from the most stable computed form (eV/atom) = 0.0553
# - E_form (meV/atom) = 161
data_Ga2HgGe2
_space_group_name_H-M_alt 'P 4/m b m'
_space_group_IT_number 127
_space_group_name_Hall '-P 4 2ab'
_cell_length_a 8.4295
_cell_length_b 8.4295
_cell_length_c 2.9374
_cell_angle_alpha 90.00
_cell_angle_beta 90.00
_cell_angle_gamma 90.00
loop_
_atom_site_label
_atom_site_type_symbol
_atom_site_fract_x
_atom_site_fract_y
_atom_site_fract_z
Ga1 Ga 0.1446 0.3554 0.0000
Hg1 Hg 0.0000 0.0000 0.5000
Ge1 Ge 0.1491 0.6491 0.5000



Record 18
# Y6NpO12 | Alexandria | PBE | optimized geometry
# - raw formation energy (eV/atom) = -3.460
data_Y6NpO12
_space_group_name_H-M_alt 'R -3'
_space_group_IT_number 148
_space_group_name_Hall '-R 3'
_cell_length_a 9.9994
_cell_length_b 9.9994
_cell_length_c 9.4727
_cell_angle_alpha 90.00
_cell_angle_beta 90.00
_cell_angle_gamma 120.00
loop_
_atom_site_label
_atom_site_type_symbol
_atom_site_fract_x
_atom_site_fract_y
_atom_site_fract_z
Y1 Y 0.0380 0.7865 0.1413
Np1 Np 0.0000 0.0000 0.5000
O1 O 0.0303 0.8092 0.8985
O2 O 0.0355 0.8419 0.3865



Record 19
# ZrTiAsBr2 | Alexandria | PBE | optimized geometry
# - raw formation energy (eV/atom) = 0.123
# - Fermi-level density of states (states/eV per cell) = 7.54
# - offset from the most stable computed form (eV/atom) = 0.1038
data_ZrTiAsBr2
_space_group_name_H-M_alt 'P 4/m m m'
_space_group_IT_number 123
_space_group_name_Hall '-P 4 2'
_cell_length_a 5.2044
_cell_length_b 5.2044
_cell_length_c 5.3678
_cell_angle_alpha 90.00
_cell_angle_beta 90.00
_cell_angle_gamma 90.00
loop_
_atom_site_label
_atom_site_type_symbol
_atom_site_fract_x
_atom_site_fract_y
_atom_site_fract_z
Zr1 Zr 0.0000 0.0000 0.0000
Ti1 Ti 0.5000 0.5000 0.5000
As1 As 0.0000 0.0000 0.5000
Br1 Br 0.0000 0.5000 0.0000



Record 20
# CuPH2 | Alexandria | PBE | optimized geometry
# - Fermi-level density of states (states/eV per cell) = 4.35
# - offset from the most stable computed form (eV/atom) = 0.6057
data_CuPH2
_space_group_name_H-M_alt 'I -4 2 d'
_space_group_IT_number 122
_space_group_name_Hall 'I -4 2bw'
_cell_length_a 4.5152
_cell_length_b 4.5152
_cell_length_c 7.3477
_cell_angle_alpha 90.00
_cell_angle_beta 90.00
_cell_angle_gamma 90.00
loop_
_atom_site_label
_atom_site_type_symbol
_atom_site_fract_x
_atom_site_fract_y
_atom_site_fract_z
Cu1 Cu 0.0000 0.0000 0.0000
P1 P 0.0000 0.0000 0.5000
H1 H 0.1887 0.2500 0.1250



For reference, VASP energy by record: -3.242 -6.132 -8.558 -5.106 -7.228 -5.233 -6.919 -5.328 -3.599 -5.426 -8.539 -6.292 -4.359 -6.650 -4.768 -2.773 -2.957 -9.314 -4.764 -3.377 eV per atom.